No. 1
Here is crystalline Rb2Pu2FeSe6 at its relaxed geometry from the Alexandria database. Energies are from PBE-GGA.

Calculated values
Formation energy (no corrections)   -1.044 eV per atom

Cell and atoms, written as CIF:
```
data_Rb2Pu2FeSe6
_symmetry_space_group_name_H-M 'C 1 2/m 1'
_symmetry_Int_Tables_number 12
_cell_length_a 7.066
_cell_length_b 12.145
_cell_length_c 8.503
_cell_angle_alpha 90.00
_cell_angle_beta 106.51
_cell_angle_gamma 90.00
loop_
_symmetry_equiv_pos_as_xyz
'x,y,z'
'-x,-y,-z'
'-x,y,-z'
'x,-y,z'
'x+1/2,y+1/2,z'
'-x+1/2,-y+1/2,-z'
'-x+1/2,y+1/2,-z'
'x+1/2,-y+1/2,z'
loop_
_atom_site_label
_atom_site_fract_x
_atom_site_fract_y
_atom_site_fract_z
Rb1 0.000 0.170 0.000
Pu1 0.000 0.333 0.500
Fe1 0.000 0.000 0.500
Se1 0.222 0.157 0.684
Se2 0.248 0.000 0.319
```

=====

No. 2
Here is crystalline Rb4Pu3FeSe8 at its relaxed geometry from the Alexandria database. Energies are from PBE-GGA.

Calculated values
Formation energy (no corrections)   -1.210 eV per atom

Cell and atoms, written as CIF:
```
data_Rb4Pu3FeSe8
_symmetry_space_group_name_H-M 'C 1 2/m 1'
_symmetry_Int_Tables_number 12
_cell_length_a 14.613
_cell_length_b 8.418
_cell_length_c 9.331
_cell_angle_alpha 90.00
_cell_angle_beta 121.42
_cell_angle_gamma 90.00
loop_
_symmetry_equiv_pos_as_xyz
'x,y,z'
'-x,-y,-z'
'-x,y,-z'
'x,-y,z'
'x+1/2,y+1/2,z'
'-x+1/2,-y+1/2,-z'
'-x+1/2,y+1/2,-z'
'x+1/2,-y+1/2,z'
loop_
_atom_site_label
_atom_site_fract_x
_atom_site_fract_y
_atom_site_fract_z
Rb1 0.000 0.000 0.000
Rb2 0.000 0.500 0.000
Rb3 0.250 0.250 0.000
Pu1 0.000 0.000 0.500
Pu2 0.250 0.250 0.500
Fe1 0.000 0.500 0.500
Se1 0.017 0.261 0.313
Se2 0.225 0.500 0.689
Se3 0.232 0.000 0.697
```

=====

No. 3
Here is crystalline Pu2Fe3Re at its relaxed geometry from the Alexandria database. Energies are from PBE-GGA.

Calculated values
Calculated formation energy   0.01 eV/f.u.

Cell and atoms, written as CIF:
```
data_Pu2Fe3Re
_symmetry_space_group_name_H-M 'C 1 2/m 1'
_symmetry_Int_Tables_number 12
_cell_length_a 8.369
_cell_length_b 5.459
_cell_length_c 5.474
_cell_angle_alpha 90.00
_cell_angle_beta 129.44
_cell_angle_gamma 90.00
loop_
_symmetry_equiv_pos_as_xyz
'x,y,z'
'-x,-y,-z'
'-x,y,-z'
'x,-y,z'
'x+1/2,y+1/2,z'
'-x+1/2,-y+1/2,-z'
'-x+1/2,y+1/2,-z'
'x+1/2,-y+1/2,z'
loop_
_atom_site_label
_atom_site_fract_x
_atom_site_fract_y
_atom_site_fract_z
Pu1 0.119 0.000 0.371
Fe1 0.000 0.500 0.000
Fe2 0.250 0.250 0.000
Re1 0.000 0.500 0.500
```

=====

No. 4
Here is crystalline Pu2FeReSi6 at its relaxed geometry from the Alexandria database. Energies are from PBE-GGA.

Calculated values
Formation energy (no corrections)   -0.324 eV per atom

Cell and atoms, written as CIF:
```
data_Pu2FeReSi6
_symmetry_space_group_name_H-M 'R -3 m'
_symmetry_Int_Tables_number 166
_symmetry_space_group_name_Hall '-R 3 2"'
_cell_length_a 5.7867
_cell_length_b 5.7867
_cell_length_c 35.6571
_cell_angle_alpha 90.00
_cell_angle_beta 90.00
_cell_angle_gamma 120.00
loop_
_atom_site_label
_atom_site_fract_x
_atom_site_fract_y
_atom_site_fract_z
Pu1 0.0000 0.0000 0.1227
Pu2 0.0000 0.0000 0.3088
Fe1 0.0000 0.0000 0.0000
Fe2 0.0000 0.0000 0.5000
Re1 0.0000 0.0000 0.4216
Si1 0.0498 0.5249 0.7158
Si2 0.0564 0.5282 0.8684
```

=====

No. 5
Here is crystalline Pu6FeRh3 at its relaxed geometry from the Alexandria database. Energies are from PBE-GGA.

Calculated values
Calculated formation energy   -0.39 eV/f.u.

Cell and atoms, written as CIF:
```
data_Pu6FeRh3
_symmetry_space_group_name_H-M 'P 63 2 2'
_symmetry_Int_Tables_number 182
_symmetry_space_group_name_Hall 'P 6c 2c'
_cell_length_a 6.4822
_cell_length_b 6.4822
_cell_length_c 12.7207
_cell_angle_alpha 90.00
_cell_angle_beta 90.00
_cell_angle_gamma 120.00
loop_
_atom_site_label
_atom_site_fract_x
_atom_site_fract_y
_atom_site_fract_z
Pu1 0.0308 0.3441 0.3598
Fe1 0.3333 0.6667 0.7500
Rh1 0.0000 0.0000 0.0000
Rh2 0.3333 0.6667 0.5216
```

=====

No. 6
Here is crystalline Pu2FeRh3 at its relaxed geometry from the Alexandria database. Energies are from PBE-GGA.

Calculated values
Calculated formation energy   -2.23 eV/f.u.

Cell and atoms, written as CIF:
```
data_Pu2FeRh3
_symmetry_space_group_name_H-M 'R -3 m'
_symmetry_Int_Tables_number 166
_symmetry_space_group_name_Hall '-R 3 2"'
_cell_length_a 5.5175
_cell_length_b 5.5175
_cell_length_c 11.9187
_cell_angle_alpha 90.00
_cell_angle_beta 90.00
_cell_angle_gamma 120.00
loop_
_atom_site_label
_atom_site_fract_x
_atom_site_fract_y
_atom_site_fract_z
Pu1 0.0000 0.0000 0.1229
Fe1 0.0000 0.0000 0.5000
Rh1 0.0000 0.5000 0.0000
```

=====

No. 7
Here is crystalline PuFe2Rh at its relaxed geometry from the Alexandria database. Energies are from PBE-GGA.

Calculated values
Calculated formation energy   -0.61 eV/f.u.

Cell and atoms, written as CIF:
```
data_PuFe2Rh
_symmetry_space_group_name_H-M 'P 4/m m m'
_symmetry_Int_Tables_number 123
_symmetry_space_group_name_Hall '-P 4 2'
_cell_length_a 3.951
_cell_length_b 3.951
_cell_length_c 3.889
_cell_angle_alpha 90.00
_cell_angle_beta 90.00
_cell_angle_gamma 90.00
loop_
_atom_site_label
_atom_site_fract_x
_atom_site_fract_y
_atom_site_fract_z
Pu1 0.000 0.000 0.000
Fe1 0.000 0.500 0.500
Rh1 0.500 0.500 0.000
```

=====

No. 8
Here is crystalline PuFeRh at its relaxed geometry from the Alexandria database. Energies are from PBE-GGA.

Calculated values
Calculated formation energy   0.43 eV/f.u.
E above lowest polymorph   0.331 eV per atom

Cell and atoms, written as CIF:
```
data_PuFeRh
_symmetry_space_group_name_H-M 'P 3 m 1'
_symmetry_Int_Tables_number 156
_cell_length_a 4.4704
_cell_length_b 4.4704
_cell_length_c 3.0695
_cell_angle_alpha 90.00
_cell_angle_beta 90.00
_cell_angle_gamma 120.00
loop_
_symmetry_equiv_pos_as_xyz
'x,y,z'
'-y,x-y,z'
'-x+y,-x,z'
'-y,-x,z'
'-x+y,y,z'
'x,x-y,z'
loop_
_atom_site_label
_atom_site_fract_x
_atom_site_fract_y
_atom_site_fract_z
Pu1 0.0000 0.0000 0.0000
Fe1 0.6667 0.3333 0.5022
Rh1 0.3333 0.6667 0.4972
```

=====

No. 9
Here is crystalline PuFeRh at its relaxed geometry from the Alexandria database. Energies are from PBE-GGA.

Calculated values
Calculated formation energy   -0.56 eV/f.u.
E above lowest polymorph   0.000 eV per atom

Cell and atoms, written as CIF:
```
data_PuFeRh
_symmetry_space_group_name_H-M 'P 63/m m c'
_symmetry_Int_Tables_number 194
_symmetry_space_group_name_Hall '-P 6c 2c'
_cell_length_a 4.4568
_cell_length_b 4.4568
_cell_length_c 5.6648
_cell_angle_alpha 90.00
_cell_angle_beta 90.00
_cell_angle_gamma 120.00
loop_
_atom_site_label
_atom_site_fract_x
_atom_site_fract_y
_atom_site_fract_z
Pu1 0.3333 0.6667 0.2500
Fe1 0.3333 0.6667 0.7500
Rh1 0.0000 0.0000 0.0000
```

=====

No. 10
Here is crystalline Pu2FeRh2 at its relaxed geometry from the Alexandria database. Energies are from PBE-GGA.

Calculated values
Calculated formation energy   -0.48 eV/f.u.

Cell and atoms, written as CIF:
```
data_Pu2FeRh2
_symmetry_space_group_name_H-M 'C 1 2/m 1'
_symmetry_Int_Tables_number 12
_cell_length_a 7.029
_cell_length_b 7.747
_cell_length_c 3.513
_cell_angle_alpha 90.00
_cell_angle_beta 90.21
_cell_angle_gamma 90.00
loop_
_symmetry_equiv_pos_as_xyz
'x,y,z'
'-x,-y,-z'
'-x,y,-z'
'x,-y,z'
'x+1/2,y+1/2,z'
'-x+1/2,-y+1/2,-z'
'-x+1/2,y+1/2,-z'
'x+1/2,-y+1/2,z'
loop_
_atom_site_label
_atom_site_fract_x
_atom_site_fract_y
_atom_site_fract_z
Pu1 0.242 0.000 0.499
Fe1 0.000 0.500 0.000
Rh1 0.000 0.186 0.000
```

=====

No. 11
Here is crystalline Pu2Fe3Rh at its relaxed geometry from the Alexandria database. Energies are from PBE-GGA.

Calculated values
Calculated formation energy   -1.27 eV/f.u.

Cell and atoms, written as CIF:
```
data_Pu2Fe3Rh
_symmetry_space_group_name_H-M 'C 1 2/m 1'
_symmetry_Int_Tables_number 12
_cell_length_a 8.726
_cell_length_b 5.040
_cell_length_c 5.296
_cell_angle_alpha 90.00
_cell_angle_beta 123.40
_cell_angle_gamma 90.00
loop_
_symmetry_equiv_pos_as_xyz
'x,y,z'
'-x,-y,-z'
'-x,y,-z'
'x,-y,z'
'x+1/2,y+1/2,z'
'-x+1/2,-y+1/2,-z'
'-x+1/2,y+1/2,-z'
'x+1/2,-y+1/2,z'
loop_
_atom_site_label
_atom_site_fract_x
_atom_site_fract_y
_atom_site_fract_z
Pu1 0.123 0.000 0.370
Fe1 0.000 0.500 0.000
Fe2 0.250 0.250 0.000
Rh1 0.000 0.500 0.500
```

=====

No. 12
Here is crystalline Pu8Fe5Rh at its relaxed geometry from the Alexandria database. Energies are from PBE-GGA.

Calculated values
Calculated formation energy   1.31 eV/f.u.

Cell and atoms, written as CIF:
```
data_Pu8Fe5Rh
_symmetry_space_group_name_H-M 'I -4'
_symmetry_Int_Tables_number 82
_cell_length_a 7.798
_cell_length_b 7.798
_cell_length_c 8.474
_cell_angle_alpha 90.00
_cell_angle_beta 90.00
_cell_angle_gamma 90.00
loop_
_symmetry_equiv_pos_as_xyz
'x,y,z'
'y,-x,-z'
'-x,-y,z'
'-y,x,-z'
'x+1/2,y+1/2,z+1/2'
'y+1/2,-x+1/2,-z+1/2'
'-x+1/2,-y+1/2,z+1/2'
'-y+1/2,x+1/2,-z+1/2'
loop_
_atom_site_label
_atom_site_fract_x
_atom_site_fract_y
_atom_site_fract_z
Pu1 0.051 0.331 0.071
Pu2 0.134 0.208 0.711
Fe1 0.000 0.500 0.750
Fe2 0.096 0.152 0.393
Rh1 0.000 0.000 0.000
```

=====

no.,total energy (Ha/atom),total magnetization (μB/atom)
1,-0.2387,1.15
2,-0.2356,0.63
3,-0.4072,0.67
4,-0.3137,0.12
5,-0.4296,3.13
6,-0.3761,2.11
7,-0.3603,0.13
8,-0.3641,2.58
9,-0.3762,0.95
10,-0.3845,1.50
11,-0.3838,0.63
12,-0.4279,0.58